First-principles (PBE-GGA) data for an optimized crystal structure of Cs2TlI, as listed in the Alexandria database.

extended XYZ file:
```
4
Lattice="4.568 0.000 0.000 0.000 4.568 0.000 0.000 0.000 10.011" Properties=species:S:1:pos:R:3 pbc="T T T"
Cs 0.000 0.000 2.316
Cs 0.000 0.000 7.695
Tl 2.284 2.284 5.005
I 2.284 2.284 0.000
```

Summary:
The calculation puts the formation energy from raw total energies at -0.659 eV/atom. As for the space-group type: P4/mmm, No. 123. Its crystal system is tetragonal.



First-principles (PBE-GGA) data for an optimized crystal structure of ZnOsF6, as listed in the Alexandria database.

extended XYZ file:
```
8
Lattice="2.584 -4.364 0.000 2.584 4.364 0.000 -1.233 0.000 5.037" Properties=species:S:1:pos:R:3 pbc="T T T"
Zn 0.000 0.000 0.000
Os 1.967 0.000 2.518
F 1.025 1.243 1.270
F 0.433 0.000 3.682
F 1.025 -1.243 1.270
F 2.909 1.243 3.767
F 3.502 0.000 1.355
F 2.909 -1.243 3.767
```

Summary:
The calculation puts the formation energy from raw total energies at -1.838 eV/atom. As for the space-group type: C2/m, No. 12. Its crystal system is monoclinic.



First-principles (PBE-GGA) data for an optimized crystal structure of Dy2S3O12, as listed in the Alexandria database.

extended XYZ file:
```
68
Lattice="13.010 0.000 0.000 0.000 9.303 0.000 0.000 0.000 9.391" Properties=species:S:1:pos:R:3 pbc="T T T"
Dy 1.519 2.325 0.333
Dy 1.519 6.978 5.028
Dy 4.986 2.326 5.028
Dy 4.986 6.976 0.333
Dy 8.024 2.326 9.059
Dy 8.024 6.976 4.363
Dy 11.491 2.325 4.363
Dy 11.491 6.978 9.059
S 0.000 0.317 7.044
S 0.000 8.986 2.348
S 1.889 3.638 3.667
S 1.889 5.665 8.363
S 4.616 1.014 8.363
S 4.616 8.289 3.667
S 6.505 4.334 2.348
S 6.505 4.968 7.044
S 8.394 1.014 5.724
S 8.394 8.289 1.029
S 11.120 3.638 1.029
S 11.120 5.665 5.724
O 0.561 3.103 4.044
O 0.561 6.199 8.739
O 0.788 1.175 7.954
O 0.788 8.127 3.258
O 0.932 0.531 1.568
O 0.932 8.772 6.264
O 1.905 4.193 8.536
O 1.905 5.110 3.840
O 2.179 3.318 2.249
O 2.179 5.985 6.944
O 2.919 3.030 4.543
O 2.919 6.273 9.238
O 3.585 1.621 9.238
O 3.585 7.681 4.543
O 4.326 1.334 6.944
O 4.326 7.969 2.249
O 4.600 0.458 3.840
O 4.600 8.844 8.536
O 5.572 4.121 6.264
O 5.572 5.182 1.568
O 5.717 3.476 3.258
O 5.717 5.827 7.954
O 5.943 1.548 8.739
O 5.943 7.755 4.044
O 7.066 1.548 5.348
O 7.066 7.755 0.652
O 7.293 3.476 1.437
O 7.293 5.827 6.133
O 7.437 4.121 7.823
O 7.437 5.182 3.128
O 8.409 0.458 0.855
O 8.409 8.844 5.551
O 8.684 1.334 7.143
O 8.684 7.969 2.447
O 9.424 1.621 4.849
O 9.424 7.681 0.153
O 10.090 3.030 0.153
O 10.090 6.273 4.849
O 10.831 3.318 2.447
O 10.831 5.985 7.143
O 11.105 4.193 5.551
O 11.105 5.110 0.855
O 12.077 0.531 3.128
O 12.077 8.772 7.823
O 12.222 1.175 6.133
O 12.222 8.127 1.437
O 12.448 3.103 0.652
O 12.448 6.199 5.348
```

Summary:
The calculation puts the formation energy from raw total energies at -2.170 eV/atom. As for the space-group type: Pbcn, No. 60. Its crystal system is orthorhombic.



First-principles (PBE-GGA) data for an optimized crystal structure of AcCdInPb, as listed in the Alexandria database.

extended XYZ file:
```
4
Lattice="0.000 3.957 3.957 3.957 0.000 3.957 3.957 3.957 0.000" Properties=species:S:1:pos:R:3 pbc="T T T"
Ac 0.000 0.000 0.000
Cd 5.936 5.936 5.936
In 1.979 1.979 1.979
Pb 3.957 3.957 3.957
```

Summary:
As for the space-group type: F-43m, No. 216. As for the formation energy: -23.26 kJ per mole of atoms. Its crystal system is cubic.



First-principles (PBE-GGA) data for an optimized crystal structure of RbSm2Cl2F5, as listed in the Alexandria database.

extended XYZ file:
```
20
Lattice="10.017 0.000 0.000 0.000 10.017 0.000 0.000 0.000 3.564" Properties=species:S:1:pos:R:3 pbc="T T T"
Rb 0.000 0.000 0.000
Rb 5.008 5.008 0.000
Sm 1.295 3.714 0.000
Sm 3.714 8.722 0.000
Sm 6.303 1.295 0.000
Sm 8.722 6.303 0.000
Cl 1.652 6.661 0.000
Cl 3.356 1.652 0.000
Cl 6.661 8.364 0.000
Cl 8.364 3.356 0.000
F 0.000 5.008 1.782
F 0.791 2.310 1.782
F 2.310 9.225 1.782
F 2.698 4.217 1.782
F 4.217 7.318 1.782
F 5.008 0.000 1.782
F 5.799 2.698 1.782
F 7.318 5.799 1.782
F 7.707 0.791 1.782
F 9.225 7.707 1.782
```

Summary:
The calculation puts the formation energy from raw total energies at -3.268 eV/atom. As for the space-group type: P4/mbm, No. 127. Its crystal system is tetragonal.



First-principles (PBE-GGA) data for an optimized crystal structure of BeRe2As, as listed in the Alexandria database.

extended XYZ file:
```
4
Lattice="1.481 -2.302 0.000 1.481 2.302 0.000 0.000 0.000 8.534" Properties=species:S:1:pos:R:3 pbc="T T T"
Be 0.000 0.000 0.000
Re 0.000 0.000 4.492
Re 1.481 0.000 6.661
As 1.481 0.000 2.088
```

Summary:
As for the space-group type: Cmm2, No. 35. As for the formation energy: 42.62 kJ per mole of atoms. Its crystal system is orthorhombic.



no.,E (eV/atom)
1,-2.065
2,-4.805
3,-6.940
4,-3.109
5,-5.614
6,-7.876